Material: K2Mg2Au
Method: DFT, PBE
State: relaxed

Unit cell a=8.479 b=8.479 c=5.767 alpha=90.00 beta=90.00 gamma=90.00
Element x y z (fractional)
Mg (0.857, 0.357, 0.500)
Mg (0.357, 0.143, 0.500)
Mg (0.643, 0.857, 0.500)
Mg (0.143, 0.643, 0.500)
K (0.838, 0.662, 0.000)
K (0.338, 0.838, 0.000)
K (0.162, 0.338, 0.000)
K (0.662, 0.162, 0.000)
Au (0.500, 0.500, 0.000)
Au (0.000, 0.000, 0.000)

Results
N(E_F), states/eV/f.u.: 2.57
Offset from the most stable computed form, meV per atom: 261
Density, Mg/m³: 2.6
SG: P4/mbm, No. 127
Formation enthalpy at 0 K, meV per atom: 294


Material: La2ZnI2
Method: DFT, PBE
State: relaxed

Unit cell a=8.734 b=8.734 c=4.244 alpha=90.00 beta=90.00 gamma=90.00
Element x y z (fractional)
La (0.660, 0.160, 0.000)
La (0.340, 0.840, 0.000)
La (0.840, 0.660, 0.000)
La (0.160, 0.340, 0.000)
Zn (0.000, 0.000, 0.000)
Zn (0.500, 0.500, 0.000)
I (0.639, 0.861, 0.500)
I (0.139, 0.639, 0.500)
I (0.361, 0.139, 0.500)
I (0.861, 0.361, 0.500)

Results
N(E_F), states/eV/f.u.: 5.29
Density, Mg/m³: 6.1
SG: P4/mbm, No. 127
Total DFT energy (no corrections), eV/cell: -34.914